# 1
Entry from the Alexandria database: crystalline AcHfF6 at its relaxed geometry (GGA-PBE).

Computed properties:
uncorrected energy = -6.83 eV/atom
M_tot = 1.00 μB/f.u.

Structure (CIF):
```
data_AcHfF6
_cell_length_a 6.086
_cell_length_b 7.667
_cell_length_c 5.289
_cell_angle_alpha 90.00
_cell_angle_beta 102.87
_cell_angle_gamma 90.00
_space_group_name_H-M_alt 'C 1 2/m 1'
_space_group_IT_number 12
_space_group_name_Hall '-C 2y'
loop_
_atom_site_label
_atom_site_type_symbol
_atom_site_fract_x
_atom_site_fract_y
_atom_site_fract_z
_atom_site_occupancy
Ac1 Ac 0.000 0.000 0.000 1
Hf1 Hf 0.000 0.500 0.500 1
F1 F 0.105 0.311 0.782 1
F2 F 0.222 0.000 0.660 1
```

# 2
Entry from the Alexandria database: crystalline CsTi3P5O19 at its relaxed geometry (GGA-PBE).

Computed properties:
uncorrected energy = -7.73 eV/atom
M_tot = 0.00 μB/f.u.

Structure (CIF):
```
data_CsTi3P5O19
_cell_length_a 11.206
_cell_length_b 16.874
_cell_length_c 8.916
_cell_angle_alpha 90.00
_cell_angle_beta 100.33
_cell_angle_gamma 90.00
_space_group_name_H-M_alt 'C 1 c 1'
_space_group_IT_number 9
_space_group_name_Hall 'C -2yc'
loop_
_atom_site_label
_atom_site_type_symbol
_atom_site_fract_x
_atom_site_fract_y
_atom_site_fract_z
_atom_site_occupancy
Cs1 Cs 0.000 0.075 0.000 1
Ti1 Ti 0.149 0.389 0.651 1
Ti2 Ti 0.262 0.252 0.162 1
Ti3 Ti 0.369 0.109 0.669 1
P1 P 0.010 0.297 0.912 1
P2 P 0.137 0.207 0.474 1
P3 P 0.167 0.428 0.290 1
P4 P 0.351 0.074 0.030 1
P5 P 0.383 0.293 0.844 1
O1 O 0.011 0.163 0.407 1
O2 O 0.028 0.424 0.253 1
O3 O 0.089 0.350 0.826 1
O4 O 0.095 0.244 0.027 1
O5 O 0.110 0.283 0.550 1
O6 O 0.196 0.218 0.334 1
O7 O 0.204 0.147 0.585 1
O8 O 0.207 0.490 0.739 1
O9 O 0.212 0.420 0.463 1
O10 O 0.228 0.363 0.206 1
O11 O 0.292 0.139 0.114 1
O12 O 0.307 0.081 0.857 1
O13 O 0.311 0.008 0.583 1
O14 O 0.317 0.352 0.731 1
O15 O 0.325 0.284 0.986 1
O16 O 0.409 0.216 0.770 1
O17 O 0.426 0.258 0.298 1
O18 O 0.430 0.149 0.494 1
O19 O 0.491 0.077 0.067 1
```

# 3
Entry from the Alexandria database: crystalline La2Pm12Y at its relaxed geometry (GGA-PBE).

Computed properties:
uncorrected energy = -4.59 eV/atom
M_tot = 0.00 μB/f.u.
E_form = 0.30 eV/atom

Structure (CIF):
```
data_La2Pm12Y
_cell_length_a 6.594
_cell_length_b 6.594
_cell_length_c 25.487
_cell_angle_alpha 90.00
_cell_angle_beta 90.00
_cell_angle_gamma 90.00
_space_group_name_H-M_alt 'P 4/n b m'
_space_group_IT_number 125
loop_
_space_group_symop_operation_xyz
'x,y,z'
'-x,-y,-z'
'-y+1/2,x,z'
'y+1/2,-x,-z'
'-x+1/2,-y+1/2,z'
'x+1/2,y+1/2,-z'
'y,-x+1/2,z'
'-y,x+1/2,-z'
'x,-y+1/2,-z'
'-x,y+1/2,z'
'-y+1/2,-x+1/2,-z'
'y+1/2,x+1/2,z'
'-x+1/2,y,-z'
'x+1/2,-y,z'
'y,x,-z'
'-y,-x,z'
loop_
_atom_site_label
_atom_site_type_symbol
_atom_site_fract_x
_atom_site_fract_y
_atom_site_fract_z
_atom_site_occupancy
La1 La 0.250 0.750 0.234 1
Pm1 Pm 0.062 0.562 0.386 1
Pm2 Pm 0.082 0.582 0.938 1
Pm3 Pm 0.250 0.250 0.162 1
Pm4 Pm 0.250 0.250 0.285 1
Y1 Y 0.250 0.750 0.500 1
```

# 4
Entry from the Alexandria database: crystalline ErPu3Bi4 at its relaxed geometry (GGA-PBE).

Computed properties:
uncorrected energy = -8.32 eV/atom
M_tot = 15.30 μB/f.u.
E_form = -0.44 eV/atom

Structure (CIF):
```
data_ErPu3Bi4
_cell_length_a 7.826
_cell_length_b 9.020
_cell_length_c 7.823
_cell_angle_alpha 90.00
_cell_angle_beta 109.44
_cell_angle_gamma 90.00
_space_group_name_H-M_alt 'P 1 2/c 1'
_space_group_IT_number 13
_space_group_name_Hall '-P 2yc'
loop_
_atom_site_label
_atom_site_type_symbol
_atom_site_fract_x
_atom_site_fract_y
_atom_site_fract_z
_atom_site_occupancy
Er1 Er 0.000 0.125 0.250 1
Pu1 Pu 0.000 0.374 0.750 1
Pu2 Pu 0.500 0.125 0.750 1
Pu3 Pu 0.500 0.374 0.250 1
Bi1 Bi 0.247 0.123 0.000 1
Bi2 Bi 0.248 0.374 0.498 1
```

# 5
Entry from the Alexandria database: crystalline LuNiIr at its relaxed geometry (GGA-PBE).

Computed properties:
uncorrected energy = -6.73 eV/atom
M_tot = 0.00 μB/f.u.
E_form = -0.35 eV/atom

Structure (CIF):
```
data_LuNiIr
_cell_length_a 3.315
_cell_length_b 3.315
_cell_length_c 9.203
_cell_angle_alpha 90.00
_cell_angle_beta 90.00
_cell_angle_gamma 90.00
_space_group_name_H-M_alt 'I 4 m m'
_space_group_IT_number 107
_space_group_name_Hall 'I 4 -2'
loop_
_atom_site_label
_atom_site_type_symbol
_atom_site_fract_x
_atom_site_fract_y
_atom_site_fract_z
_atom_site_occupancy
Lu1 Lu 0.000 0.000 0.000 1
Ni1 Ni 0.000 0.000 0.299 1
Ir1 Ir 0.000 0.000 0.693 1
```

# 6
Entry from the Alexandria database: crystalline Tb3AlZn4 at its relaxed geometry (GGA-PBE).

Computed properties:
uncorrected energy = -2.99 eV/atom
M_tot = 0.00 μB/f.u.
E_form = -0.15 eV/atom

Structure (CIF):
```
data_Tb3AlZn4
_cell_length_a 3.649
_cell_length_b 6.210
_cell_length_c 16.364
_cell_angle_alpha 90.00
_cell_angle_beta 90.00
_cell_angle_gamma 90.00
_space_group_name_H-M_alt 'I m m m'
_space_group_IT_number 71
_space_group_name_Hall '-I 2 2'
loop_
_atom_site_label
_atom_site_type_symbol
_atom_site_fract_x
_atom_site_fract_y
_atom_site_fract_z
_atom_site_occupancy
Tb1 Tb 0.000 0.000 0.000 1
Tb2 Tb 0.000 0.500 0.217 1
Al1 Al 0.000 0.000 0.500 1
Zn1 Zn 0.000 0.285 0.380 1
```

# 7
Entry from the Alexandria database: crystalline Ca2OsW2 at its relaxed geometry (GGA-PBE).

Computed properties:
uncorrected energy = -7.14 eV/atom
M_tot = 0.88 μB/f.u.
E_form = 1.09 eV/atom

Structure (CIF):
```
data_Ca2OsW2
_cell_length_a 3.521
_cell_length_b 3.521
_cell_length_c 19.194
_cell_angle_alpha 90.00
_cell_angle_beta 90.00
_cell_angle_gamma 90.00
_space_group_name_H-M_alt 'I 4/m m m'
_space_group_IT_number 139
_space_group_name_Hall '-I 4 2'
loop_
_atom_site_label
_atom_site_type_symbol
_atom_site_fract_x
_atom_site_fract_y
_atom_site_fract_z
_atom_site_occupancy
Ca1 Ca 0.000 0.000 0.092 1
Os1 Os 0.000 0.000 0.500 1
W1 W 0.000 0.500 0.250 1
```

# 8
Entry from the Alexandria database: crystalline CrOs3 at its relaxed geometry (GGA-PBE).

Computed properties:
uncorrected energy = -10.24 eV/atom
M_tot = 0.00 μB/f.u.
E_form = 0.58 eV/atom

Structure (CIF):
```
data_CrOs3
_cell_length_a 6.083
_cell_length_b 6.083
_cell_length_c 6.083
_cell_angle_alpha 90.00
_cell_angle_beta 90.00
_cell_angle_gamma 90.00
_space_group_name_H-M_alt 'F m -3 m'
_space_group_IT_number 225
_space_group_name_Hall '-F 4 2 3'
loop_
_atom_site_label
_atom_site_type_symbol
_atom_site_fract_x
_atom_site_fract_y
_atom_site_fract_z
_atom_site_occupancy
Cr1 Cr 0.000 0.000 0.000 1
Os1 Os 0.000 0.000 0.500 1
Os2 Os 0.250 0.250 0.250 1
```